DFT (PBE-GGA) results for CaAuSe2 after structural relaxation.

a = 5.3184 Å, b = 5.3184 Å, c = 5.3184 Å
α = 133.87°, β = 115.81°, γ = 82.62°
Closest atoms and distances in Å follow each position.
Positions (direct):
Au: 0.7500 0.2500 0.5000  4 Se 2.64
Se: 0.5466 0.5466 0.0000  2 Au 2.64
Ca: 0.2500 0.7500 0.5000  8 Se 3.16-3.26, 4 Au 3.51
Se: 0.9534 0.9534 0.0000  2 Au 2.64

Relative energy among the computed polymorphs ... 175 meV/atom
Formation energy from raw total energies ... -0.732 eV per atom
Calculated volume ... 23.5 Å³ per atom
VASP energy ... -3.79 eV/atom